# NaSr2SbF

NaSr2SbF after structural relaxation (PBE-GGA, Alexandria via LeMat-Bulk).

Space-group type: P4/mmm (123)

a b c (Å): 5.374 5.374 4.650
angles (deg): 90.00 90.00 90.00
Fractional coordinates of all 5 atoms:
Sr (0.000, 0.500, 0.000)
Sb (0.500, 0.500, 0.500)
Na (0.000, 0.000, 0.500)
Sr (0.500, 0.000, 0.000)
F (0.000, 0.000, 0.000)

# Na2Sr4Sb3F2

Na2Sr4Sb3F2 after structural relaxation (PBE-GGA, Alexandria via LeMat-Bulk).

Space-group type: I4/mmm (139)

a b c (Å): 5.217 5.217 13.208
angles (deg): 101.39 101.39 90.00
Fractional coordinates of all 11 atoms:
Sb (0.169, 0.169, 0.338)
Sr (0.412, 0.912, 0.825)
F (0.409, 0.409, 0.819)
Sr (0.912, 0.412, 0.825)
Sr (0.588, 0.088, 0.175)
Na (0.292, 0.292, 0.585)
Sb (0.831, 0.831, 0.662)
Sb (0.000, 0.000, 0.000)
Sr (0.088, 0.588, 0.175)
Na (0.708, 0.708, 0.415)
F (0.591, 0.591, 0.181)

# NaTc2SbF

NaTc2SbF after structural relaxation (PBE-GGA, Alexandria via LeMat-Bulk).

Space-group type: P4/mmm (123)

a b c (Å): 5.024 5.024 6.273
angles (deg): 90.00 90.00 90.00
Last column: magnetic moment on the atom in μB.
Fractional coordinates of all 5 atoms:
Tc (0.500, 0.000, 0.000)  2.26
Na (0.000, 0.000, 0.500)  0.00
Sb (0.000, 0.000, 0.000)  -0.09
Tc (0.000, 0.500, 0.000)  2.26
F (0.500, 0.500, 0.500)  0.10

Number 1: V 26.9 Å³ per atom, uncorrected formation energy -1.49 eV per atom. Number 2: V 31.4 Å³ per atom, uncorrected formation energy -1.53 eV per atom. Number 3: V 31.7 Å³ per atom, uncorrected formation energy 0.98 eV per atom.